(1)
This record from Alexandria via LeMat-Bulk describes a geometry-optimized NaSmGe4 structure. The functional is GGA-PBE.

Structure (POSCAR):
```
NaSmGe4
1.0
5.647 0.000 0.000
2.824 4.891 0.000
2.824 1.630 4.611
Na Sm Ge
1 1 4
Direct
0.000 0.000 0.000
0.250 0.250 0.250
0.625 0.625 0.126
0.625 0.625 0.625
0.625 0.126 0.625
0.126 0.625 0.625
```

Summary:
- Energy of formation: -0.285 eV per atom

(2)
This record from Alexandria via LeMat-Bulk describes a geometry-optimized Hf2H4Pd3 structure. The functional is GGA-PBE.

Structure (POSCAR):
```
Hf2H4Pd3
1.0
-2.842 -0.862 0.016
2.774 -4.051 -1.085
-0.088 0.428 7.261
H Pd Hf
4 3 2
Direct
0.303 0.607 0.937
0.989 0.979 0.247
0.697 0.393 0.063
0.011 0.021 0.753
0.382 0.764 0.609
0.000 0.000 0.000
0.618 0.236 0.391
0.687 0.373 0.783
0.313 0.627 0.217
```

(3)
This record from Alexandria via LeMat-Bulk describes a geometry-optimized Sn4Pd2Rh structure. The functional is GGA-PBE.

Structure (POSCAR):
```
Sn4Pd2Rh
1.0
5.076 0.000 0.000
0.000 5.076 0.000
2.538 2.538 6.575
Pd Sn Rh
2 4 1
Direct
0.397 0.397 0.206
0.603 0.603 0.794
0.800 0.800 0.401
0.000 0.500 0.000
0.200 0.200 0.599
0.500 0.000 0.000
0.000 0.000 0.000
```

Summary:
- Energy of formation: -0.105 eV per atom

(4)
This record from Alexandria via LeMat-Bulk describes a geometry-optimized SrLa2Hg structure. The functional is GGA-PBE.

Structure (POSCAR):
```
SrLa2Hg
1.0
-1.588 -2.413 2.604
-1.653 -2.021 -2.882
7.711 -5.605 -0.492
La Hg Sr
2 1 1
Direct
0.000 0.000 0.965
0.500 0.500 0.223
0.500 0.500 0.765
0.000 0.000 0.547
```

Summary:
- Energy of formation: -0.225 eV per atom

no.,DFT total energy (eV per atom)
1,-4.37
2,-5.76
3,-4.93
4,-3.18